Material: MnCu3Pd4
Method: DFT, PBE
State: optimized geometry

a b c (Å): 7.7599 5.4616 5.3487
angles (deg): 90.00 90.00 90.00
With the nearest neighbours (Å) after each atom.
Atoms (fractional coordinates):
Mn 0.0000 0.0000 0.0000  6 Pd 2.67-2.72, 6 Cu 2.73-2.74
Mn 0.5000 0.0000 0.5000  6 Pd 2.67-2.72, 6 Cu 2.73-2.74
Cu 0.0000 0.5000 0.0000  6 Pd 2.67-2.73, 4 Cu 2.71, 2 Mn 2.73
Cu 0.2500 0.2564 0.2500  8 Pd 2.67-2.76, 2 Cu 2.71, 2 Mn 2.74
Cu 0.2500 0.7436 0.7500  8 Pd 2.67-2.76, 2 Cu 2.71, 2 Mn 2.74
Cu 0.5000 0.5000 0.5000  6 Pd 2.67-2.73, 4 Cu 2.71, 2 Mn 2.73
Cu 0.7500 0.2564 0.2500  8 Pd 2.67-2.76, 2 Cu 2.71, 2 Mn 2.74
Cu 0.7500 0.7436 0.7500  8 Pd 2.67-2.76, 2 Cu 2.71, 2 Mn 2.74
Pd 0.0000 0.0000 0.5000  2 Mn 2.67, 6 Pd 2.72-2.73, 4 Cu 2.74
Pd 0.0000 0.5000 0.5000  6 Cu 2.67-2.71, 6 Pd 2.73
Pd 0.2500 0.2490 0.7500  6 Cu 2.67-2.76, 2 Mn 2.72, 4 Pd 2.72-2.73
Pd 0.2500 0.7510 0.2500  6 Cu 2.67-2.76, 2 Mn 2.72, 4 Pd 2.72-2.73
Pd 0.5000 0.0000 0.0000  2 Mn 2.67, 6 Pd 2.72-2.73, 4 Cu 2.74
Pd 0.5000 0.5000 0.0000  6 Cu 2.67-2.71, 6 Pd 2.73
Pd 0.7500 0.2490 0.7500  6 Cu 2.67-2.76, 2 Mn 2.72, 4 Pd 2.72-2.73
Pd 0.7500 0.7510 0.2500  6 Cu 2.67-2.76, 2 Mn 2.72, 4 Pd 2.72-2.73

Values from the calculation:
Calculated formation energy = -11.8 kJ per mole of atoms
Total magnetic moment = 0.6037 μB per atom
Distance to the lowest polymorph of the same formula = 0.058 eV per atom
Raw total energy = -5.4011 eV per atom
Crystal system = orthorhombic